Record 1
BaAs: optimized geometry, PBE.

Energy relative to the elements in eV per formula unit: -1.91
E in eV/atom: -4.242

Lattice parameters (Å, degrees): 12.8566 6.7398 6.3596 90.00 90.00 90.00
Space group Pnma (No. 62)
Asymmetric unit:
Ba1 0.0138 0.2500 0.1814 (multiplicity 4)
Ba2 0.2119 0.2500 0.5851 (multiplicity 4)
As1 0.0632 0.7500 0.3183 (multiplicity 4)
As2 0.2125 0.7500 0.5800 (multiplicity 4)


Record 2
WCl2: optimized geometry, PBE.

DOS(E_F) in states/eV/cell: 3.5
Energy relative to the elements, uncorrected in eV/atom: 1.482
E in eV/atom: -4.067

Lattice parameters (Å, degrees): 4.7934 4.7934 2.9470 90.00 90.00 120.00
Space group P6/mmm (No. 191)
Asymmetric unit:
W1 0.0000 0.0000 0.0000 (multiplicity 1)
Cl1 0.3333 0.6667 0.5000 (multiplicity 2)


Record 3
Hg2MoAu: optimized geometry, PBE.

DOS(E_F) in states/eV/cell: 6.1
Energy relative to the elements in eV per formula unit: 2.02
E in eV/atom: -3.174

Lattice parameters (Å, degrees): 9.7023 2.9409 5.4830 90.00 100.47 90.00
Space group C2/m (No. 12)
Asymmetric unit:
Hg1 0.2473 0.0000 0.2430 (multiplicity 4)
Mo1 0.0000 0.5000 0.0000 (multiplicity 2)
Au1 0.0000 0.0000 0.5000 (multiplicity 2)


Record 4
ScNi9Ge2: optimized geometry, PBE.

DOS(E_F) in states/eV/cell: 38.7
Energy relative to the elements in eV per formula unit: -1.81
E in eV/atom: -5.784

Lattice parameters (Å, degrees): 4.7581 4.7581 23.3989 90.00 90.00 120.00
Space group R-3m (No. 166, hexagonal axes)
Asymmetric unit:
Sc1 0.0000 0.0000 0.0000 (multiplicity 3)
Ni1 0.0000 0.0000 0.3339 (multiplicity 6)
Ni2 0.0000 0.0000 0.5000 (multiplicity 3)
Ni3 0.0045 0.5022 0.9145 (multiplicity 18)
Ge1 0.0000 0.0000 0.1344 (multiplicity 6)


Record 5
Ca5Mg2Al: optimized geometry, PBE.

DOS(E_F) in states/eV/cell: 12.5
Energy relative to the elements in eV per formula unit: -0.64
E in eV/atom: -2.197

Lattice parameters (Å, degrees): 7.0181 13.6227 5.4118 90.00 90.00 90.00
Space group Pbam (No. 55)
Asymmetric unit:
Ca1 0.0000 0.0000 0.0000 (multiplicity 2)
Ca2 0.1123 0.2741 0.0000 (multiplicity 4)
Ca3 0.1657 0.6035 0.5000 (multiplicity 4)
Mg1 0.1555 0.8673 0.5000 (multiplicity 4)
Al1 0.0000 0.5000 0.0000 (multiplicity 2)


Record 6
PuBe4Co: optimized geometry, PBE.

DOS(E_F) in states/eV/cell: 33.1
Energy relative to the elements in eV per formula unit: 0.58
E in eV/atom: -5.960

Lattice parameters (Å, degrees): 6.5071 6.5071 6.5071 90.00 90.00 90.00
Space group F-43m (No. 216)
Asymmetric unit:
Pu1 0.0000 0.0000 0.0000 (multiplicity 4)
Be1 0.1218 0.1218 0.6218 (multiplicity 16)
Co1 0.2500 0.2500 0.2500 (multiplicity 4)


Record 7
K5H4Br: optimized geometry, PBE.

DOS(E_F) in states/eV/cell: 0.0
E in eV/atom: -2.555

Lattice parameters (Å, degrees): 4.1547 4.1547 50.9952 90.00 90.00 120.00
Space group R-3m (No. 166, hexagonal axes)
Asymmetric unit:
K1 0.0000 0.0000 0.0000 (multiplicity 3)
K2 0.0000 0.0000 0.2086 (multiplicity 6)
K3 0.0000 0.0000 0.3956 (multiplicity 6)
H1 0.0000 0.0000 0.0933 (multiplicity 6)
H2 0.0000 0.0000 0.3023 (multiplicity 6)
Br1 0.0000 0.0000 0.5000 (multiplicity 3)


Record 8
KSi2Sb: optimized geometry, PBE.

DOS(E_F) in states/eV/cell: 4.1
Energy relative to the elements, uncorrected in eV/atom: 0.575
E in eV/atom: -3.441

Lattice parameters (Å, degrees): 6.5082 10.8643 2.8931 90.00 111.00 90.00
Space group C2/m (No. 12)
Asymmetric unit:
K1 0.0000 0.0000 0.0000 (multiplicity 2)
Si1 0.2500 0.2500 0.0000 (multiplicity 4)
Sb1 0.0000 0.5000 0.0000 (multiplicity 2)


Record 9
LiPSeO2: optimized geometry, PBE.

DOS(E_F) in states/eV/cell: 2.9
Energy relative to the elements, uncorrected in eV/atom: 0.372
E in eV/atom: -3.773

Lattice parameters (Å, degrees): 3.6581 3.6581 5.3522 90.00 90.00 90.00
Space group P4/mmm (No. 123)
Asymmetric unit:
Li1 0.0000 0.0000 0.0000 (multiplicity 1)
P1 0.0000 0.0000 0.5000 (multiplicity 1)
Se1 0.5000 0.5000 0.5000 (multiplicity 1)
O1 0.0000 0.5000 0.0000 (multiplicity 2)


Record 10
Na3SmHg4: optimized geometry, PBE.

DOS(E_F) in states/eV/cell: 10.8
Energy relative to the elements in eV per formula unit: -2.25
E in eV/atom: -1.517

Lattice parameters (Å, degrees): 15.8534 5.2504 5.2508 90.00 109.22 90.00
Space group C2/m (No. 12)
Asymmetric unit:
Na1 0.0000 0.0000 0.0000 (multiplicity 2)
Na2 0.2477 0.0000 0.2477 (multiplicity 4)
Sm1 0.0000 0.5000 0.5000 (multiplicity 2)
Hg1 0.1234 0.0000 0.6233 (multiplicity 4)
Hg2 0.1234 0.5000 0.1237 (multiplicity 4)


Record 11
LiAg5Pt: optimized geometry, PBE.

DOS(E_F) in states/eV/cell: 7.4
Energy relative to the elements in eV per formula unit: 2.41
E in eV/atom: -2.828

Lattice parameters (Å, degrees): 11.2479 7.8546 9.5614 90.00 124.45 90.00
Space group C2/c (No. 15)
Asymmetric unit:
Li1 0.0000 0.2478 0.2500 (multiplicity 4)
Ag1 0.0000 0.1183 0.7500 (multiplicity 4)
Ag2 0.2290 0.1400 0.7142 (multiplicity 8)
Ag3 0.2415 0.4157 0.5454 (multiplicity 8)
Pt1 0.2500 0.2500 0.0000 (multiplicity 4)


Record 12
Sm8As5P: optimized geometry, PBE.

DOS(E_F) in states/eV/cell: 25.0
Energy relative to the elements in eV per formula unit: -17.89
E in eV/atom: -6.022

Lattice parameters (Å, degrees): 8.8655 8.8655 8.9156 90.00 90.00 90.00
Space group I-4 (No. 82)
Asymmetric unit:
Sm1 0.0666 0.1822 0.3067 (multiplicity 8)
Sm2 0.0668 0.3104 0.9433 (multiplicity 8)
As1 0.0000 0.5000 0.2500 (multiplicity 2)
As2 0.1230 0.2511 0.6244 (multiplicity 8)
P1 0.0000 0.0000 0.0000 (multiplicity 2)